Here is crystalline LaAgOs at its relaxed geometry from Alexandria. Energies are from PBE-GGA.

Lattice parameters (Å, degrees): 2.9474 2.9474 7.9574 90.00 90.00 120.00
Positions (direct):
Os  0.3333  0.6667  0.6770
Ag  0.0000  0.0000  0.9743
La  0.6667  0.3333  0.3486

energy above the most stable polymorph in this dataset	343	meV/atom
raw total energy	-5.6425	eV per atom
energy of formation from the pure elements	0.694	eV per atom
size of the total moment	0.04	μB/atom